! MgSn2Pd PBE-GGA optimized geometry; values from VASP
&SYSTEM
  ibrav = 0, nat = 8, ntyp = 3
/
ATOMIC_SPECIES
Mg 24.30 Mg.upf
Sn 118.71 Sn.upf
Pd 106.42 Pd.upf
ATOMIC_POSITIONS angstrom
Mg 0.0000 0.0000 0.0000
Mg 2.3499 6.2466 0.0000
Sn 0.0000 4.0010 0.0000
Sn 0.0000 8.4923 0.0000
Sn 2.3499 2.2457 0.0000
Sn 2.3499 10.2476 0.0000
Pd 0.0000 6.2466 1.5886
Pd 2.3499 0.0000 1.5886
CELL_PARAMETERS angstrom
4.6998 0.0000 0.0000
0.0000 12.4933 0.0000
0.0000 0.0000 3.1773
! total energy = -4.052 eV per atom
! DOS at the Fermi energy = 1.8 states/eV/f.u.